Record 1
# CdRu2Pb

A geometry-optimized CdRu2Pb structure (GGA-PBE, Alexandria via LeMat-Bulk).

Unit cell a=2.9990 b=2.9990 c=8.7095 alpha=90.00 beta=90.00 gamma=90.00
Element x y z (fractional)
Cd 0.0000 0.0000 0.0000
Ru 0.0000 0.0000 0.6012
Ru 0.5000 0.5000 0.7760
Pb 0.5000 0.5000 0.3522

The value obtained for the energy above the most stable polymorph in this dataset is 0.0 meV per atom. The calculated formation energy is 285 meV/atom. Its crystal system is tetragonal. As for the symmetry: No. 99.

Record 2
# Cd2RuPb

A geometry-optimized Cd2RuPb structure (GGA-PBE, Alexandria via LeMat-Bulk).

Unit cell a=3.3989 b=4.7587 c=5.5109 alpha=90.00 beta=104.20 gamma=90.00
Element x y z (fractional)
Cd 0.1232 0.0000 0.2773
Cd 0.8768 0.0000 0.7227
Ru 0.5000 0.5000 0.5000
Pb 0.5000 0.5000 0.0000

The calculated formation energy is 374 meV/atom. Its crystal system is monoclinic. As for the symmetry: No. 10.

Record 3
# Cd4RuPb

A geometry-optimized Cd4RuPb structure (GGA-PBE, Alexandria via LeMat-Bulk).

Unit cell a=5.6810 b=5.6810 c=5.6810 alpha=60.00 beta=60.00 gamma=60.00
Element x y z (fractional)
Cd 0.3760 0.3760 0.3760
Cd 0.3760 0.3760 0.8718
Cd 0.3760 0.8718 0.3760
Cd 0.8718 0.3760 0.3760
Ru 0.7500 0.7500 0.7500
Pb 0.0000 0.0000 0.0000

The calculated formation energy is 409 meV/atom. Its crystal system is cubic. As for the symmetry: No. 216.

Record 4
# CdRuPb2

A geometry-optimized CdRuPb2 structure (GGA-PBE, Alexandria via LeMat-Bulk).

Unit cell a=4.6332 b=4.6332 c=8.3725 alpha=90.00 beta=90.00 gamma=90.00
Element x y z (fractional)
Cd 0.0000 0.0000 0.0000
Cd 0.5000 0.5000 0.5000
Ru 0.0000 0.0000 0.5000
Ru 0.5000 0.5000 0.0000
Pb 0.0000 0.5000 0.2500
Pb 0.0000 0.5000 0.7500
Pb 0.5000 0.0000 0.2500
Pb 0.5000 0.0000 0.7500

The calculated formation energy is 496 meV/atom. Its crystal system is tetragonal. As for the symmetry: No. 139.

Record 5
# Cd2RuPb

A geometry-optimized Cd2RuPb structure (GGA-PBE, Alexandria via LeMat-Bulk).

Unit cell a=3.3722 b=4.6009 c=5.2936 alpha=90.00 beta=90.00 gamma=90.00
Element x y z (fractional)
Cd 0.0000 0.0000 0.0000
Cd 0.5000 0.5000 0.0000
Ru 0.0000 0.5000 0.5000
Pb 0.5000 0.0000 0.5000

The calculated formation energy is 384 meV/atom. Its crystal system is orthorhombic. As for the symmetry: No. 47.

Record 6
# CdRuPb2

A geometry-optimized CdRuPb2 structure (GGA-PBE, Alexandria via LeMat-Bulk).

Unit cell a=3.5622 b=4.7780 c=5.6456 alpha=90.00 beta=108.30 gamma=90.00
Element x y z (fractional)
Cd 0.0000 0.0000 0.0000
Ru 0.8570 0.5000 0.7130
Pb 0.2760 0.0000 0.5493
Pb 0.5793 0.5000 0.1599

The calculated formation energy is 350 meV/atom. Its crystal system is monoclinic. As for the symmetry: No. 6.

Record 7
# CdRuPb2

A geometry-optimized CdRuPb2 structure (GGA-PBE, Alexandria via LeMat-Bulk).

Unit cell a=3.3168 b=3.3172 c=8.8479 alpha=90.00 beta=91.69 gamma=90.00
Element x y z (fractional)
Cd 0.0000 0.0000 0.0000
Ru 0.0000 0.0000 0.5000
Pb 0.4866 0.5000 0.3050
Pb 0.5134 0.5000 0.6950

The calculated formation energy is 271 meV/atom. Its crystal system is monoclinic. As for the symmetry: No. 10.

Record 8
# Cd2RuPb

A geometry-optimized Cd2RuPb structure (GGA-PBE, Alexandria via LeMat-Bulk).

Unit cell a=4.2866 b=4.2866 c=8.7993 alpha=90.00 beta=90.00 gamma=90.00
Element x y z (fractional)
Cd 0.0000 0.0000 0.0000
Cd 0.0000 0.5000 0.2500
Cd 0.5000 0.0000 0.7500
Cd 0.5000 0.5000 0.5000
Ru 0.0000 0.0000 0.5000
Ru 0.5000 0.5000 0.0000
Pb 0.0000 0.5000 0.7500
Pb 0.5000 0.0000 0.2500

The calculated formation energy is 347 meV/atom. Its crystal system is tetragonal. As for the symmetry: No. 119.